Record 1
Compound: AgGeAsCl2
Source: Alexandria
Functional: PBEsol
Structure: optimized geometry

Properties
* mass density: 4.64 Mg/m³
* size of the total moment: 0.0 μB per cell
* Fermi-level density of states: 0.730 states/eV/atom
* energy relative to the elements, uncorrected: 1.0 eV per formula unit

Lattice parameters (Å, degrees): 4.722 4.722 5.234 90.00 90.00 90.00
Space group P4/mmm (No. 123)
Inequivalent atoms, fractional coordinates:
Ag (0.000, 0.000, 0.000)
Ge (0.500, 0.500, 0.500)
As (0.500, 0.500, 0.000)
Cl (0.000, 0.500, 0.500)

=====

Record 2
Compound: TlTeP2
Source: Alexandria
Functional: PBEsol
Structure: optimized geometry

Properties
* mass density: 6.85 Mg/m³
* size of the total moment: 0.0 μB per cell
* energy above the most stable polymorph in this dataset: 1.23 eV per formula unit
* Fermi-level density of states: 0.450 states/eV/atom
* energy relative to the elements, uncorrected: 1.5 eV per formula unit

Lattice parameters (Å, degrees): 3.482 4.258 6.438 90.00 90.00 90.00
Space group Pmmm (No. 47)
Inequivalent atoms, fractional coordinates:
Tl (0.000, 0.000, 0.000)
Te (0.000, 0.000, 0.500)
P (0.500, 0.500, 0.332)

=====

Record 3
Compound: AlBPbO4
Source: Alexandria
Functional: PBEsol
Structure: optimized geometry

Properties
* mass density: 6.28 Mg/m³
* size of the total moment: 0.0 μB per cell
* Fermi-level density of states: 0.000 states/eV/atom
* energy relative to the elements, uncorrected: -16.4 eV per formula unit

Lattice parameters (Å, degrees): 7.009 9.886 9.439 90.00 90.00 90.00
Space group Pbcn (No. 60)
Inequivalent atoms, fractional coordinates:
Al (0.000, 0.000, 0.000)
Al (0.000, 0.164, 0.250)
B (0.222, 0.095, 0.747)
Pb (0.067, 0.329, 0.952)
O (0.102, 0.157, 0.429)
O (0.165, 0.017, 0.170)
O (0.169, 0.109, 0.888)
O (0.172, 0.303, 0.184)

=====

Question: Which formula does entry 3 have?
Answer: AlBPbO4

=====

Question: The lowest mass density belongs to which entry?
Answer: AgGeAsCl2

=====

Copy entry 3 word for word.
Compound: AlBPbO4
Source: Alexandria
Functional: PBEsol
Structure: optimized geometry

Properties
* mass density: 6.28 Mg/m³
* size of the total moment: 0.0 μB per cell
* Fermi-level density of states: 0.000 states/eV/atom
* energy relative to the elements, uncorrected: -16.4 eV per formula unit

Lattice parameters (Å, degrees): 7.009 9.886 9.439 90.00 90.00 90.00
Space group Pbcn (No. 60)
Inequivalent atoms, fractional coordinates:
Al (0.000, 0.000, 0.000)
Al (0.000, 0.164, 0.250)
B (0.222, 0.095, 0.747)
Pb (0.067, 0.329, 0.952)
O (0.102, 0.157, 0.429)
O (0.165, 0.017, 0.170)
O (0.169, 0.109, 0.888)
O (0.172, 0.303, 0.184)